DFT (PBE) results for CdCoSe2 after structural relaxation.

Values from the calculation:
formation energy without anion corrections: 0.26 eV/atom
N(E_F): 3.0 states/eV/cell
density: 6.65 g/cm³

Cell: 5.454 4.794 4.141 Å, 73.60 74.75 117.09°
Each line ends with the local moment (μB).
Fractional positions:
1 Cd 0.000 0.500 0.500  -0.01
2 Se 0.000 0.000 0.000  0.04
3 Co 0.500 0.500 0.000  1.85
4 Se 0.500 0.000 0.500  0.04

DFT (PBE) results for CdCoSe2 after structural relaxation.

Values from the calculation:
formation energy without anion corrections: -0.11 eV/atom
N(E_F): 2.4 states/eV/cell
density: 6.65 g/cm³

Cell: 3.511 4.759 5.539 Å, 62.62 90.00 90.00°
Fractional positions:
1 Se 0.000 0.557 0.592
2 Se 0.000 0.943 0.908
3 Cd 0.500 0.250 0.250
4 Co 0.500 0.750 0.750

So what do the calculations give for raw total energy? Going down the list: -3.49, -3.86 eV per atom.